1.
{
  "formula": "Ir2RuRh",
  "functional": "GGA-PBEsol",
  "state": "optimized geometry",
  "dos_ef_per_ev_cell": 4.0,
  "relative_energy_mev_per_atom": 15,
  "vol_a3_per_atom": 13.69,
  "magmom_total_mub_per_atom": 0.000,
  "rho_g_cm3": 17.8,
  "sg": "I-4m2 (119)",
  "lattice": [[3.7939, 0.0000, 0.0000], [0.0000, 3.7939, 0.0000], [-1.8969, -1.8969, 3.8054]],
  "species": ["Ru", "Ir", "Ir", "Rh"],
  "frac_coords": [[0.2500, 0.7500, 0.5000], [0.5000, 0.5000, 0.0000], [0.7500, 0.2500, 0.5000], [0.0000, 0.0000, 0.0000]]
}


2.
{
  "formula": "Ir2RuRh",
  "functional": "GGA-PBEsol",
  "state": "optimized geometry",
  "dos_ef_per_ev_cell": 4.0,
  "relative_energy_mev_per_atom": 11,
  "vol_a3_per_atom": 13.69,
  "magmom_total_mub_per_atom": 0.000,
  "rho_g_cm3": 17.8,
  "sg": "I4/mmm (139)",
  "lattice": [[3.7959, 0.0000, 0.0000], [0.0000, 3.7959, 0.0000], [-1.8979, -1.8979, 3.8016]],
  "species": ["Ru", "Ir", "Ir", "Rh"],
  "frac_coords": [[0.5000, 0.5000, 0.0000], [0.7500, 0.2500, 0.5000], [0.2500, 0.7500, 0.5000], [0.0000, 0.0000, 0.0000]]
}


Number 1: calculated total energy -0.6989 Ry per atom, energy of formation from the pure elements -0.020 eV/atom. Number 2: calculated total energy -0.6992 Ry per atom, energy of formation from the pure elements -0.024 eV/atom.